KHg after structural relaxation. Source: Alexandria via LeMat-Bulk, functional PBE.

Lattice parameters (Å, degrees): 6.683 6.945 7.142 107.44 101.87 91.61
Space group P-1 (No. 2)
Symmetry-distinct sites (fractional):
K (0.179, 0.297, 0.140) (multiplicity 2)
K (0.256, 0.844, 0.545) (multiplicity 2)
Hg (0.297, 0.395, 0.696) (multiplicity 2)
Hg (0.368, 0.788, 0.056) (multiplicity 2)

total magnetization	0.0	Bohr magnetons per cell
raw total energy	-7.63	eV/cell

***

K5Hg4 after structural relaxation. Source: Alexandria via LeMat-Bulk, functional PBE.

Lattice parameters (Å, degrees): 11.110 11.110 5.697 90.00 90.00 90.00
Space group I4/mmm (No. 139)
Symmetry-distinct sites (fractional):
K (0.000, 0.000, 0.000) (multiplicity 2)
K (0.179, 0.179, 0.500) (multiplicity 8)
Hg (0.000, 0.348, 0.000) (multiplicity 8)

energy above the most stable polymorph in this dataset	0.110	eV/atom
total magnetization	0.0	Bohr magnetons per cell
raw total energy	-15.28	eV/cell

***

What did the first record say?
KHg after structural relaxation. Source: Alexandria via LeMat-Bulk, functional PBE.

Lattice parameters (Å, degrees): 6.683 6.945 7.142 107.44 101.87 91.61
Space group P-1 (No. 2)
Symmetry-distinct sites (fractional):
K (0.179, 0.297, 0.140) (multiplicity 2)
K (0.256, 0.844, 0.545) (multiplicity 2)
Hg (0.297, 0.395, 0.696) (multiplicity 2)
Hg (0.368, 0.788, 0.056) (multiplicity 2)

total magnetization	0.0	Bohr magnetons per cell
raw total energy	-7.63	eV/cell

***

Question: Look up the total magnetization of the first one.
Answer: 0.0 Bohr magnetons per cell